Entry 1:
Crystalline DyPaIr4 at its relaxed geometry. Source: the Alexandria database, functional GGA-PBE.

Its magnetic moment is 0.0 μB/f.u. The formation energy is -778 meV/atom.

The structure belongs to space group F-43m (No. 216); the cell edges are 7.581, 7.581 and 7.581 Å and the angles 90.00°, 90.00° and 90.00°. Symmetry generates all atoms from Dy at (0.000, 0.000, 0.000), Pa at (0.250, 0.250, 0.250) and Ir at (0.125, 0.125, 0.625).



Entry 2:
Crystalline MgH2S at its relaxed geometry. Source: the Alexandria database, functional GGA-PBE.

Its magnetic moment is 0.0 μB/f.u. The calculation puts the distance to the lowest polymorph of the same formula at 771 meV/atom.

The structure belongs to space group I-42d (No. 122); the cell edges are 3.584, 3.584 and 14.048 Å and the angles 90.00°, 90.00° and 90.00°. Symmetry generates all atoms from Mg at (0.000, 0.000, 0.000), H at (0.241, 0.250, 0.125) and S at (0.000, 0.000, 0.500).



Entry 3:
Crystalline Dy6Ga2Au at its relaxed geometry. Source: the Alexandria database, functional GGA-PBE.

Its magnetic moment is 0.0 μB/f.u. The formation energy is -317 meV/atom.

The structure belongs to space group Immm (No. 71); the cell edges are 4.933, 7.019 and 14.932 Å and the angles 90.00°, 90.00° and 90.00°. Symmetry generates all atoms from Dy at (0.000, 0.247, 0.166), Dy at (0.000, 0.252, 0.500), Ga at (0.000, 0.000, 0.333) and Au at (0.000, 0.000, 0.000).



Entry 4:
Crystalline FeNiW at its relaxed geometry. Source: the Alexandria database, functional GGA-PBE.

Its magnetic moment is 1.5 μB/f.u. The formation energy is 73 meV/atom. The calculation puts the distance to the lowest polymorph of the same formula at 0 meV/atom.

The structure belongs to space group Imm2 (No. 44); the cell edges are 2.615, 3.707 and 7.844 Å and the angles 90.00°, 90.00° and 90.00°. Symmetry generates all atoms from Fe at (0.000, 0.000, 0.000), Ni at (0.000, 0.000, 0.660) and W at (0.000, 0.000, 0.330).



Entry 5:
Crystalline Pr4AlZn3 at its relaxed geometry. Source: the Alexandria database, functional GGA-PBE.

Its magnetic moment is 0.0 μB/f.u. The formation energy is -279 meV/atom. The calculation puts the distance to the lowest polymorph of the same formula at 29 meV/atom.

The structure belongs to space group Pmm2 (No. 25); the cell edges are 3.711, 4.588 and 12.280 Å and the angles 90.00°, 90.00° and 90.00°. Symmetry generates all atoms from Pr at (0.000, 0.000, 0.000), Pr at (0.000, 0.500, 0.303), Pr at (0.500, 0.000, 0.495), Pr at (0.500, 0.500, 0.807), Al at (0.000, 0.000, 0.712), Zn at (0.000, 0.500, 0.589), Zn at (0.500, 0.000, 0.214) and Zn at (0.500, 0.500, 0.090).



Entry 6:
Crystalline Ce3ErPb3 at its relaxed geometry. Source: the Alexandria database, functional GGA-PBE.

Its magnetic moment is 3.4 μB/f.u. The formation energy is -115 meV/atom.

The structure belongs to space group C2/m (No. 12); the cell edges are 9.731, 15.181 and 6.477 Å and the angles 90.00°, 91.88° and 90.00°. Symmetry generates all atoms from Ce at (0.000, 0.170, 0.000), Ce at (0.000, 0.196, 0.500), Ce at (0.066, 0.500, 0.812), Er at (0.194, 0.000, 0.732), Pb at (0.119, 0.000, 0.259) and Pb at (0.180, 0.324, 0.212).



Entry 7:
Crystalline LiUCd2S6 at its relaxed geometry. Source: the Alexandria database, functional GGA-PBE.

Its magnetic moment is 0.0 μB/f.u.

The structure belongs to space group P1 (No. 1); the cell edges are 6.511, 6.513 and 7.211 Å and the angles 63.17°, 63.21° and 60.04°. Symmetry generates all atoms from Li at (0.000, 0.000, 0.000), U at (0.494, 0.495, 0.517), Cd at (0.305, 0.305, 0.085), Cd at (0.811, 0.812, 0.566), S at (0.111, 0.733, 0.769), S at (0.248, 0.607, 0.267), S at (0.388, 0.111, 0.769), S at (0.607, 0.878, 0.267), S at (0.733, 0.388, 0.769) and S at (0.877, 0.248, 0.267).



Entry 8:
Crystalline Pr2SnHPd6 at its relaxed geometry. Source: the Alexandria database, functional GGA-PBE.

Its magnetic moment is 0.0 μB/f.u.

The structure belongs to space group C2/m (No. 12); the cell edges are 10.093, 5.821 and 7.207 Å and the angles 90.00°, 118.39° and 90.00°. Symmetry generates all atoms from Pr at (0.228, 0.000, 0.192), Sn at (0.000, 0.500, 0.000), H at (0.000, 0.000, 0.500), Pd at (0.018, 0.246, 0.317) and Pd at (0.225, 0.000, 0.672).



Entry 9:
Crystalline NbBW2 at its relaxed geometry. Source: the Alexandria database, functional GGA-PBE.

Its magnetic moment is 0.0 μB/f.u. The formation energy is -285 meV/atom.

The structure belongs to space group P2_1/m (No. 11); the cell edges are 3.258, 7.381 and 4.974 Å and the angles 90.00°, 109.06° and 90.00°. Symmetry generates all atoms from Nb at (0.050, 0.250, 0.098), B at (0.242, 0.750, 0.484) and W at (0.350, 0.057, 0.701).



Entry 10:
Crystalline RePt2Br at its relaxed geometry. Source: the Alexandria database, functional GGA-PBE.

Its magnetic moment is 1.8 μB/f.u. The calculation puts the distance to the lowest polymorph of the same formula at 792 meV/atom.

The structure belongs to space group Fm-3m (No. 225); the cell edges are 6.505, 6.505 and 6.505 Å and the angles 90.00°, 90.00° and 90.00°. Symmetry generates all atoms from Re at (0.000, 0.000, 0.000), Pt at (0.250, 0.250, 0.250) and Br at (0.000, 0.000, 0.500).



Entry 11:
Crystalline K2SbPbCl8 at its relaxed geometry. Source: the Alexandria database, functional GGA-PBE.

Its magnetic moment is 0.7 μB/f.u.

The structure belongs to space group P2/m (No. 10); the cell edges are 6.836, 8.791 and 7.010 Å and the angles 90.00°, 93.28° and 90.00°. Symmetry generates all atoms from K at (0.000, 0.248, 0.000), Sb at (0.500, 0.000, 0.500), Pb at (0.500, 0.500, 0.500), Cl at (0.249, 0.500, 0.175), Cl at (0.285, 0.213, 0.629) and Cl at (0.294, 0.000, 0.189).



Entry 12:
Crystalline PmThCuSn at its relaxed geometry. Source: the Alexandria database, functional GGA-PBE.

Its magnetic moment is 0.0 μB/f.u. The formation energy is -296 meV/atom.

The structure belongs to space group F-43m (No. 216); the cell edges are 7.484, 7.484 and 7.484 Å and the angles 90.00°, 90.00° and 90.00°. Symmetry generates all atoms from Pm at (0.000, 0.000, 0.000), Th at (0.000, 0.000, 0.500), Cu at (0.250, 0.250, 0.250) and Sn at (0.250, 0.250, 0.750).



Entry 13:
Crystalline ScAl2Ru at its relaxed geometry. Source: the Alexandria database, functional GGA-PBE.

Its magnetic moment is 0.0 μB/f.u. The formation energy is -428 meV/atom.

The structure belongs to space group Pm (No. 6); the cell edges are 3.060, 4.299 and 4.991 Å and the angles 90.00°, 97.57° and 90.00°. Symmetry generates all atoms from Sc at (0.000, 0.000, 0.000), Al at (0.546, 0.000, 0.511), Al at (0.550, 0.500, 0.218) and Ru at (0.176, 0.500, 0.679).



Entry 14:
Crystalline SrGe6P8 at its relaxed geometry. Source: the Alexandria database, functional GGA-PBE.

Its magnetic moment is 0.0 μB/f.u. The formation energy is -12 meV/atom.

The structure belongs to space group R-3 (No. 148, hexagonal axes); the cell edges are 10.1880, 10.1880 and 10.6129 Å and the angles 90.00°, 90.00° and 120.00°. Symmetry generates all atoms from Sr at (0.0000, 0.0000, 0.0000), Ge at (0.0444, 0.2478, 0.6274), P at (0.0000, 0.0000, 0.3004) and P at (0.0369, 0.2886, 0.1231).



Entry 15:
Crystalline PuTl2Rh2O6 at its relaxed geometry. Source: the Alexandria database, functional GGA-PBE.

Its magnetic moment is 3.7 μB/f.u.

The structure belongs to space group C2/m (No. 12); the cell edges are 5.502, 9.543 and 6.792 Å and the angles 90.00°, 90.77° and 90.00°. Symmetry generates all atoms from Pu at (0.000, 0.000, 0.000), Tl at (0.000, 0.333, 0.500), Rh at (0.000, 0.333, 0.000), O at (0.146, 0.500, 0.838) and O at (0.173, 0.176, 0.838).



Entry 16:
Crystalline Rb4Tb3ScTe8 at its relaxed geometry. Source: the Alexandria database, functional GGA-PBE.

Its magnetic moment is 0.0 μB/f.u.

The structure belongs to space group C2/m (No. 12); the cell edges are 15.571, 8.989 and 10.001 Å and the angles 90.00°, 121.27° and 90.00°. Symmetry generates all atoms from Rb at (0.000, 0.000, 0.000), Rb at (0.000, 0.500, 0.000), Rb at (0.250, 0.250, 0.000), Tb at (0.000, 0.000, 0.500), Tb at (0.250, 0.250, 0.500), Sc at (0.000, 0.500, 0.500), Te at (0.015, 0.258, 0.304), Te at (0.226, 0.500, 0.695) and Te at (0.234, 0.000, 0.702).



Entry 17:
Crystalline MnTcCl at its relaxed geometry. Source: the Alexandria database, functional GGA-PBE.

Its magnetic moment is 2.6 μB/f.u. The calculation puts the distance to the lowest polymorph of the same formula at 539 meV/atom.

The structure belongs to space group F-43m (No. 216); the cell edges are 5.836, 5.836 and 5.836 Å and the angles 90.00°, 90.00° and 90.00°. Symmetry generates all atoms from Mn at (0.000, 0.000, 0.000), Tc at (0.250, 0.250, 0.250) and Cl at (0.000, 0.000, 0.500).



Entry 18:
Crystalline B2P2S at its relaxed geometry. Source: the Alexandria database, functional GGA-PBE.

Its magnetic moment is 0.0 μB/f.u. The calculation puts the distance to the lowest polymorph of the same formula at 82 meV/atom.

The structure belongs to space group P1 (No. 1); the cell edges are 3.275, 4.860 and 4.871 Å and the angles 66.16°, 71.13° and 74.72°. Symmetry generates all atoms from B at (0.000, 0.000, 0.000), B at (0.399, 0.483, 0.602), P at (0.601, 0.032, 0.741), P at (0.886, 0.723, 0.438) and S at (0.063, 0.369, 0.029).



Entry 19:
Crystalline UInSn at its relaxed geometry. Source: the Alexandria database, functional GGA-PBE.

Its magnetic moment is 2.2 μB/f.u. The formation energy is 121 meV/atom. The calculation puts the distance to the lowest polymorph of the same formula at 110 meV/atom.

The structure belongs to space group P3m1 (No. 156); the cell edges are 3.1887, 3.1887 and 8.2445 Å and the angles 90.00°, 90.00° and 120.00°. Symmetry generates all atoms from U at (0.0000, 0.0000, 0.0000), In at (0.3333, 0.6667, 0.6632) and Sn at (0.6667, 0.3333, 0.3322).



Entry 20:
Crystalline KCdPbAu at its relaxed geometry. Source: the Alexandria database, functional GGA-PBE.

Its magnetic moment is 0.0 μB/f.u. The formation energy is -54 meV/atom. The calculation puts the distance to the lowest polymorph of the same formula at 129 meV/atom.

The structure belongs to space group F-43m (No. 216); the cell edges are 7.587, 7.587 and 7.587 Å and the angles 90.00°, 90.00° and 90.00°. Symmetry generates all atoms from K at (0.000, 0.000, 0.000), Cd at (0.250, 0.250, 0.250), Pb at (0.000, 0.000, 0.500) and Au at (0.250, 0.250, 0.750).



Entry 21:
Crystalline Cd3SnAu2 at its relaxed geometry. Source: the Alexandria database, functional GGA-PBE.

Its magnetic moment is 0.0 μB/f.u. The formation energy is -129 meV/atom.

The structure belongs to space group Pmc2_1 (No. 26); the cell edges are 4.335, 8.856 and 6.870 Å and the angles 90.00°, 90.00° and 90.00°. Symmetry generates all atoms from Cd at (0.000, 0.067, 0.000), Cd at (0.000, 0.299, 0.420), Cd at (0.500, 0.190, 0.706), Sn at (0.500, 0.426, 0.115), Au at (0.000, 0.382, 0.832) and Au at (0.500, 0.119, 0.284).



Entry 22:
Crystalline As2PbCl at its relaxed geometry. Source: the Alexandria database, functional GGA-PBE.

Its magnetic moment is 0.0 μB/f.u.

The structure belongs to space group P4mm (No. 99); the cell edges are 3.553, 3.553 and 8.166 Å and the angles 90.00°, 90.00° and 90.00°. Symmetry generates all atoms from As at (0.000, 0.000, 0.000), As at (0.500, 0.500, 0.127), Pb at (0.500, 0.500, 0.725) and Cl at (0.000, 0.000, 0.515).



Entry 23:
Crystalline La7RuAu2 at its relaxed geometry. Source: the Alexandria database, functional GGA-PBE.

Its magnetic moment is 0.0 μB/f.u. The formation energy is -365 meV/atom.

The structure belongs to space group C2/c (No. 15); the cell edges are 15.888, 8.817 and 10.759 Å and the angles 90.00°, 127.66° and 90.00°. Symmetry generates all atoms from La at (0.000, 0.066, 0.250), La at (0.081, 0.309, 0.090), La at (0.148, 0.279, 0.797), La at (0.192, 0.393, 0.509), Ru at (0.000, 0.490, 0.250) and Au at (0.172, 0.029, 0.618).



Entry 24:
Crystalline SiPbW2 at its relaxed geometry. Source: the Alexandria database, functional GGA-PBE.

Its magnetic moment is 0.0 μB/f.u. The calculation puts the distance to the lowest polymorph of the same formula at 305 meV/atom.

The structure belongs to space group Cm (No. 8); the cell edges are 8.478, 3.263 and 5.899 Å and the angles 90.00°, 98.98° and 90.00°. Symmetry generates all atoms from Si at (0.000, 0.000, 0.000), Pb at (0.219, 0.000, 0.644), W at (0.236, 0.500, 0.135) and W at (0.458, 0.000, 0.323).



no.,total energy (eV per atom)
1,-9.04
2,-2.90
3,-4.42
4,-8.99
5,-3.61
6,-4.90
7,-4.71
8,-5.45
9,-10.95
10,-5.53
11,-3.28
12,-5.36
13,-6.20
14,-4.86
15,-7.09
16,-4.43
17,-6.42
18,-5.73
19,-5.89
20,-2.30
21,-2.35
22,-3.90
23,-5.40
24,-8.11